Record 1
## Cs3ErNp2S6 (PBE-GGA)

Data for Cs3ErNp2S6 after structural relaxation.

The structure in CIF format:
```
data_Cs3ErNp2S6
_space_group_name_H-M_alt 'C 1 2/m 1'
_space_group_IT_number 12
_cell_length_a 7.142
_cell_length_b 12.371
_cell_length_c 8.403
_cell_angle_alpha 90.00
_cell_angle_beta 106.46
_cell_angle_gamma 90.00
loop_
_space_group_symop_operation_xyz
'x,y,z'
'-x,-y,-z'
'-x,y,-z'
'x,-y,z'
'x+1/2,y+1/2,z'
'-x+1/2,-y+1/2,-z'
'-x+1/2,y+1/2,-z'
'x+1/2,-y+1/2,z'
loop_
_atom_site_label
_atom_site_fract_x
_atom_site_fract_y
_atom_site_fract_z
Cs1 0.000 0.000 0.000
Cs2 0.000 0.334 0.000
Er1 0.000 0.500 0.500
Np1 0.000 0.167 0.500
S1 0.225 0.335 0.680
S2 0.230 0.000 0.680
```

Properties
crystal system = monoclinic
energy relative to the elements, uncorrected = -1494 meV/atom
total energy = -151.41 eV for the cell shown
calculated volume = 712.0 Å³ per cell


Record 2
## Cs3ErNp3S8 (PBE-GGA)

Data for Cs3ErNp3S8 after structural relaxation.

The structure in CIF format:
```
data_Cs3ErNp3S8
_space_group_name_H-M_alt 'R -3 m'
_space_group_IT_number 166
_space_group_name_Hall '-R 3 2"'
_cell_length_a 8.1439
_cell_length_b 8.1439
_cell_length_c 24.4936
_cell_angle_alpha 90.00
_cell_angle_beta 90.00
_cell_angle_gamma 120.00
loop_
_atom_site_label
_atom_site_fract_x
_atom_site_fract_y
_atom_site_fract_z
Cs1 0.0000 0.5000 0.0000
Er1 0.0000 0.0000 0.5000
Np1 0.0000 0.5000 0.5000
S1 0.0000 0.0000 0.2256
S2 0.0013 0.5006 0.2253
```

Properties
crystal system = trigonal
energy relative to the elements, uncorrected = -1506 meV/atom
total energy = -304.66 eV for the cell shown
calculated volume = 1406.8 Å³ per cell


Record 3
## Cs2Er2NpSe6 (PBE-GGA)

Data for Cs2Er2NpSe6 after structural relaxation.

The structure in CIF format:
```
data_Cs2Er2NpSe6
_space_group_name_H-M_alt 'C 1 2/m 1'
_space_group_IT_number 12
_cell_length_a 7.214
_cell_length_b 12.500
_cell_length_c 8.931
_cell_angle_alpha 90.00
_cell_angle_beta 105.96
_cell_angle_gamma 90.00
loop_
_space_group_symop_operation_xyz
'x,y,z'
'-x,-y,-z'
'-x,y,-z'
'x,-y,z'
'x+1/2,y+1/2,z'
'-x+1/2,-y+1/2,-z'
'-x+1/2,y+1/2,-z'
'x+1/2,-y+1/2,z'
loop_
_atom_site_label
_atom_site_fract_x
_atom_site_fract_y
_atom_site_fract_z
Cs1 0.000 0.168 0.000
Er1 0.000 0.333 0.500
Np1 0.000 0.000 0.500
Se1 0.227 0.165 0.681
Se2 0.230 0.500 0.681
```

Properties
crystal system = monoclinic
energy relative to the elements, uncorrected = -1573 meV/atom
total energy = -123.97 eV for the cell shown
calculated volume = 774.3 Å³ per cell


Record 4
## Cs2ErNpSe4 (PBE-GGA)

Data for Cs2ErNpSe4 after structural relaxation.

The structure in CIF format:
```
data_Cs2ErNpSe4
_space_group_name_H-M_alt 'P 1 2/m 1'
_space_group_IT_number 10
_cell_length_a 7.454
_cell_length_b 4.285
_cell_length_c 8.718
_cell_angle_alpha 90.00
_cell_angle_beta 106.50
_cell_angle_gamma 90.00
loop_
_space_group_symop_operation_xyz
'x,y,z'
'-x,-y,-z'
'-x,y,-z'
'x,-y,z'
loop_
_atom_site_label
_atom_site_fract_x
_atom_site_fract_y
_atom_site_fract_z
Cs1 0.000 0.000 0.000
Cs2 0.500 0.500 0.000
Er1 0.000 0.500 0.500
Np1 0.500 0.000 0.500
Se1 0.222 0.000 0.685
Se2 0.267 0.500 0.315
```

Properties
crystal system = monoclinic
energy relative to the elements, uncorrected = -1461 meV/atom
total energy = -44.84 eV for the cell shown
calculated volume = 267.0 Å³ per cell


Record 5
## CsErO2 (PBE-GGA)

Data for CsErO2 after structural relaxation.

The structure in CIF format:
```
data_CsErO2
_space_group_name_H-M_alt 'P 63/m m c'
_space_group_IT_number 194
_space_group_name_Hall '-P 6c 2c'
_cell_length_a 3.5245
_cell_length_b 3.5245
_cell_length_c 13.7091
_cell_angle_alpha 90.00
_cell_angle_beta 90.00
_cell_angle_gamma 120.00
loop_
_atom_site_label
_atom_site_fract_x
_atom_site_fract_y
_atom_site_fract_z
Cs1 0.3333 0.6667 0.2500
Er1 0.0000 0.0000 0.0000
O1 0.3333 0.6667 0.5816
```

Properties
crystal system = hexagonal
energy relative to the elements, uncorrected = -2649 meV/atom
total energy = -51.86 eV for the cell shown
calculated volume = 147.5 Å³ per cell


Record 6
## CsErO2 (PBE-GGA)

Data for CsErO2 after structural relaxation.

The structure in CIF format:
```
data_CsErO2
_space_group_name_H-M_alt 'R 3 m'
_space_group_IT_number 160
_space_group_name_Hall 'R 3 -2"'
_cell_length_a 3.5165
_cell_length_b 3.5165
_cell_length_c 20.7754
_cell_angle_alpha 90.00
_cell_angle_beta 90.00
_cell_angle_gamma 120.00
loop_
_atom_site_label
_atom_site_fract_x
_atom_site_fract_y
_atom_site_fract_z
Cs1 0.0000 0.0000 0.0000
Er1 0.0000 0.0000 0.1696
O1 0.0000 0.0000 0.5585
O2 0.0000 0.0000 0.7834
```

Properties
crystal system = trigonal
energy relative to the elements, uncorrected = -2622 meV/atom
total energy = -77.47 eV for the cell shown
calculated volume = 222.5 Å³ per cell


Record 7
## Cs5ErO4 (PBE-GGA)

Data for Cs5ErO4 after structural relaxation.

The structure in CIF format:
```
data_Cs5ErO4
_space_group_name_H-M_alt 'C 1 2/m 1'
_space_group_IT_number 12
_cell_length_a 19.417
_cell_length_b 3.773
_cell_length_c 8.027
_cell_angle_alpha 90.00
_cell_angle_beta 101.76
_cell_angle_gamma 90.00
loop_
_space_group_symop_operation_xyz
'x,y,z'
'-x,-y,-z'
'-x,y,-z'
'x,-y,z'
'x+1/2,y+1/2,z'
'-x+1/2,-y+1/2,-z'
'-x+1/2,y+1/2,-z'
'x+1/2,-y+1/2,z'
loop_
_atom_site_label
_atom_site_fract_x
_atom_site_fract_y
_atom_site_fract_z
Cs1 0.000 0.000 0.000
Cs2 0.147 0.500 0.804
Cs3 0.149 0.500 0.340
Er1 0.000 0.000 0.500
O1 0.001 0.500 0.692
O2 0.120 0.000 0.558
```

Properties
crystal system = monoclinic
energy relative to the elements, uncorrected = -1579 meV/atom
E above lowest polymorph = 61.2 meV/atom
total energy = -88.91 eV for the cell shown
calculated volume = 575.7 Å³ per cell


Record 8
## Cs5ErO4 (PBE-GGA)

Data for Cs5ErO4 after structural relaxation.

The structure in CIF format:
```
data_Cs5ErO4
_space_group_name_H-M_alt 'P m m n'
_space_group_IT_number 59
_cell_length_a 8.498
_cell_length_b 9.973
_cell_length_c 7.012
_cell_angle_alpha 90.00
_cell_angle_beta 90.00
_cell_angle_gamma 90.00
loop_
_space_group_symop_operation_xyz
'x,y,z'
'-x,-y,-z'
'-x+1/2,-y+1/2,z'
'x+1/2,y+1/2,-z'
'x+1/2,-y,-z'
'-x+1/2,y,z'
'-x,y+1/2,-z'
'x,-y+1/2,z'
loop_
_atom_site_label
_atom_site_fract_x
_atom_site_fract_y
_atom_site_fract_z
Cs1 0.011 0.063 0.244
Cs2 0.250 0.750 0.327
Er1 0.250 0.250 0.718
O1 0.035 0.250 0.881
O2 0.250 0.068 0.550
```

Properties
crystal system = orthorhombic
energy relative to the elements, uncorrected = -1640 meV/atom
E above lowest polymorph = 0.0 meV/atom
total energy = -90.13 eV for the cell shown
calculated volume = 594.3 Å³ per cell


Record 9
## CsErP2O7 (PBE-GGA)

Data for CsErP2O7 after structural relaxation.

The structure in CIF format:
```
data_CsErP2O7
_space_group_name_H-M_alt 'P 1 21/c 1'
_space_group_IT_number 14
_cell_length_a 8.033
_cell_length_b 10.953
_cell_length_c 8.871
_cell_angle_alpha 90.00
_cell_angle_beta 104.79
_cell_angle_gamma 90.00
loop_
_space_group_symop_operation_xyz
'x,y,z'
'-x,-y,-z'
'-x,y+1/2,-z+1/2'
'x,-y+1/2,z+1/2'
loop_
_atom_site_label
_atom_site_fract_x
_atom_site_fract_y
_atom_site_fract_z
Cs1 0.197 0.190 0.055
Er1 0.238 0.600 0.253
P1 0.129 0.597 0.823
P2 0.423 0.627 0.683
O1 0.003 0.004 0.768
O2 0.085 0.727 0.760
O3 0.155 0.588 0.998
O4 0.312 0.558 0.789
O5 0.326 0.605 0.513
O6 0.401 0.066 0.771
O7 0.436 0.738 0.230
```

Properties
crystal system = monoclinic
energy relative to the elements, uncorrected = -2720 meV/atom
total energy = -323.44 eV for the cell shown
calculated volume = 754.6 Å³ per cell